(1)
The following is a DFT calculation (PBE) of a geometry-optimized Gd2ZrTe structure.

Computed properties:
Energy relative to the elements, uncorrected (eV/atom): -0.492
Space-group type: No. 123

Cell lengths 3.9270, 3.9270, 7.1646 Å; angles 90.00, 90.00, 90.00 degrees
Fractional positions:
Gd  0.0000  0.0000  0.2434
Gd  0.0000  0.0000  0.7566
Zr  0.5000  0.5000  0.5000
Te  0.5000  0.5000  0.0000

=====

(2)
The following is a DFT calculation (PBE) of a geometry-optimized Tb2GePd structure.

Computed properties:
Formation energy from the elements (meV per atom): -781
Space-group type: No. 123

Cell lengths 3.5107, 3.5107, 7.2717 Å; angles 90.00, 90.00, 90.00 degrees
Fractional positions:
Tb  0.0000  0.0000  0.2458
Tb  0.0000  0.0000  0.7542
Ge  0.5000  0.5000  0.5000
Pd  0.5000  0.5000  0.0000

=====

(3)
The following is a DFT calculation (PBE) of a geometry-optimized NaHoTcO5 structure.

Computed properties:
Energy relative to the elements, uncorrected (eV/atom): -2.063
Space-group type: No. 15

Cell lengths 6.0583, 6.0583, 7.9652 Å; angles 102.62, 102.62, 106.25 degrees
Fractional positions:
Na  0.1882  0.8118  0.7500
Na  0.8118  0.1882  0.2500
Ho  0.5000  0.5000  0.0000
Ho  0.5000  0.5000  0.5000
Tc  0.1682  0.8318  0.2500
Tc  0.8318  0.1682  0.7500
O  0.1096  0.2200  0.9144
O  0.1824  0.6160  0.3708
O  0.2200  0.1096  0.4144
O  0.3840  0.8176  0.1292
O  0.4182  0.5818  0.7500
O  0.5818  0.4182  0.2500
O  0.6160  0.1824  0.8708
O  0.7800  0.8904  0.5856
O  0.8176  0.3840  0.6292
O  0.8904  0.7800  0.0856

=====

(4)
The following is a DFT calculation (PBE) of a geometry-optimized MgTl2PbBr6 structure.

Computed properties:
Energy relative to the elements, uncorrected (eV/atom): -1.046
Space-group type: No. 14

Cell lengths 7.6096, 8.0370, 13.3963 Å; angles 90.00, 124.58, 90.00 degrees
Fractional positions:
Mg  0.0000  0.0000  0.0000
Mg  0.0000  0.5000  0.5000
Tl  0.2758  0.0785  0.7486
Tl  0.2758  0.4215  0.2486
Tl  0.7242  0.5785  0.7514
Tl  0.7242  0.9215  0.2514
Pb  0.5000  0.0000  0.5000
Pb  0.5000  0.5000  0.0000
Br  0.1308  0.0225  0.2341
Br  0.1308  0.4775  0.7341
Br  0.2273  0.7128  0.0511
Br  0.2273  0.7872  0.5511
Br  0.3409  0.1814  0.0484
Br  0.3409  0.3186  0.5484
Br  0.6591  0.6814  0.4516
Br  0.6591  0.8186  0.9516
Br  0.7727  0.2128  0.4489
Br  0.7727  0.2872  0.9489
Br  0.8692  0.5225  0.2659
Br  0.8692  0.9775  0.7659

=====

(5)
The following is a DFT calculation (PBE) of a geometry-optimized ZnHW2 structure.

Computed properties:
ΔE to the lowest computed polymorph (meV per atom): 0
Space-group type: No. 122

Cell lengths 5.0758, 5.0758, 5.0758 Å; angles 107.31, 107.31, 113.89 degrees
Fractional positions:
Zn  0.0000  0.0000  0.0000
Zn  0.7500  0.2500  0.5000
H  0.2500  0.7500  0.5000
H  0.5000  0.5000  0.0000
W  0.2159  0.6250  0.0909
W  0.3750  0.4659  0.5909
W  0.5341  0.1250  0.9091
W  0.8750  0.7841  0.4091

=====

(6)
The following is a DFT calculation (PBE) of a geometry-optimized YTc2Sb structure.

Computed properties:
Energy relative to the elements, uncorrected (eV/atom): 0.066
Space-group type: No. 123

Cell lengths 3.4039, 3.4039, 6.5718 Å; angles 90.00, 90.00, 90.00 degrees
Fractional positions:
Y  0.0000  0.0000  0.0000
Tc  0.5000  0.5000  0.2826
Tc  0.5000  0.5000  0.7174
Sb  0.0000  0.0000  0.5000

=====

Question: Which formula does entry 1 have?
Answer: Gd2ZrTe

=====

Repeat the sixth record exactly.
The following is a DFT calculation (PBE) of a geometry-optimized YTc2Sb structure.

Computed properties:
Energy relative to the elements, uncorrected (eV/atom): 0.066
Space-group type: No. 123

Cell lengths 3.4039, 3.4039, 6.5718 Å; angles 90.00, 90.00, 90.00 degrees
Fractional positions:
Y  0.0000  0.0000  0.0000
Tc  0.5000  0.5000  0.2826
Tc  0.5000  0.5000  0.7174
Sb  0.0000  0.0000  0.5000